# PBE-GGA VSbAu2S, optimized geometry
data_VSbAu2S
_chemical_formula_sum 'V1 Sb1 Au2 S1'
_symmetry_space_group_name_H-M 'P 1'
_symmetry_Int_Tables_number 1
_cell_length_a 5.100
_cell_length_b 4.273
_cell_length_c 5.100
_cell_angle_alpha 90.00
_cell_angle_beta 90.00
_cell_angle_gamma 90.00
loop_
_symmetry_equiv_pos_as_xyz
'x,y,z'
loop_
_atom_site_label
_atom_site_type_symbol
_atom_site_fract_x
_atom_site_fract_y
_atom_site_fract_z
Au1 Au 0.000 0.000 0.500
Au2 Au 0.500 0.000 0.000
S1 S 0.000 0.500 0.000
V1 V 0.000 0.000 0.000
Sb1 Sb 0.500 0.500 0.500
# Symmetry: P4/mmm, No. 123
# Final energy, eV per atom: -4.4392
# D(E_F), states/eV/atom: 0.665